Compound: UMnNb
Source: the Alexandria database
Functional: PBE
Structure: relaxed

## Properties
Energy relative to the lowest polymorph listed for this composition ... 4.5 kJ per mole of atoms
Volume ... 49 Å³/cell
E_form ... 0.25 eV per atom

Structure (extended XYZ):
```
3
Lattice="2.857 0.000 0.000 0.000 4.457 0.000 0.000 -2.229 3.860" Properties=species:S:1:pos:R:3 pbc="T T T"
Nb 0.793 0.000 2.573
Mn 2.077 2.229 1.287
U 2.844 0.000 0.000
```